# 1
Ga5PdRu4: relaxed, GGA-PBE.

abc: 3.052 3.052 15.138
angles: 90.00 90.00 90.00
Atoms (fractional coordinates):
Pd 0.000 0.000 0.000
Ru 0.000 0.000 0.401
Ga 0.500 0.500 0.108
Ga 0.500 0.500 0.500
Ru 0.000 0.000 0.599
Ru 0.000 0.000 0.800
Ga 0.500 0.500 0.301
Ga 0.500 0.500 0.699
Ru 0.000 0.000 0.200
Ga 0.500 0.500 0.892

## Properties
The value obtained for the energy of formation from the pure elements is -376 meV/atom. As for the density: 10.12 g cm⁻³. The volume comes out at 14.102 A^3/atom. As for the space-group type: P4/mmm. The density of states at the Fermi level comes out at 7.8 states/eV/f.u. The value obtained for the raw total energy is -6.12 eV/atom.

# 2
GaPdRu2: relaxed, GGA-PBE.

abc: 7.080 7.080 5.607
angles: 50.85 50.85 90.00
Atoms (fractional coordinates):
Ru 0.375 0.398 0.750
Ga 0.250 0.750 0.500
Pd 0.750 0.250 0.500
Ru 0.148 0.625 0.250
Pd 0.000 0.000 0.000
Ga 0.500 0.500 0.000
Ru 0.875 0.852 0.750
Ru 0.602 0.125 0.250

## Properties
The value obtained for the energy of formation from the pure elements is 464 meV/atom. As for the density: 9.93 g cm⁻³. The volume comes out at 15.818 A^3/atom. As for the space-group type: I-42d. The density of states at the Fermi level comes out at 6.2 states/eV/f.u. The value obtained for the raw total energy is -6.23 eV/atom.

# 3
Ga4PdRu3: relaxed, GGA-PBE.

abc: 3.097 4.246 8.578
angles: 90.00 90.00 90.00
Atoms (fractional coordinates):
Ru 0.500 0.000 0.242
Ru 0.500 0.000 0.758
Ga 0.000 0.000 0.500
Ga 0.000 0.500 0.741
Ru 0.500 0.500 0.500
Pd 0.500 0.500 0.000
Ga 0.000 0.000 0.000
Ga 0.000 0.500 0.259

## Properties
The value obtained for the energy of formation from the pure elements is -421 meV/atom. As for the density: 10.13 g cm⁻³. The volume comes out at 14.102 A^3/atom. As for the space-group type: Pmmm. The density of states at the Fermi level comes out at 4.5 states/eV/f.u. The value obtained for the raw total energy is -6.06 eV/atom.

# 4
GaPd2Ru: relaxed, GGA-PBE.

abc: 3.726 3.726 9.664
angles: 78.89 78.89 90.00
Last column: magnetic moment on the atom in μB.
Atoms (fractional coordinates):
Pd 0.375 0.376 0.750  0.11
Pd 0.875 0.874 0.750  0.11
Pd 0.126 0.625 0.250  0.11
Ru 0.750 0.250 0.500  0.96
Ga 0.250 0.750 0.500  -0.02
Ru 0.000 0.000 0.000  0.97
Pd 0.624 0.125 0.250  0.11
Ga 0.500 0.500 0.000  -0.02

## Properties
The value obtained for the energy of formation from the pure elements is 167 meV/atom. As for the density: 9.87 g cm⁻³. The volume comes out at 16.133 A^3/atom. As for the space-group type: I-42d. The density of states at the Fermi level comes out at 3.2 states/eV/f.u. The value obtained for the raw total energy is -5.51 eV/atom.

# 5
Sc3Ga3PdRu2: relaxed, GGA-PBE.

abc: 3.479 7.164 7.164
angles: 120.00 90.00 90.00
Atoms (fractional coordinates):
Ru 0.500 0.333 0.667
Ru 0.500 0.667 0.333
Ga 0.500 0.000 0.725
Sc 0.000 0.400 0.000
Sc 0.000 0.000 0.400
Ga 0.500 0.725 0.000
Ga 0.500 0.275 0.275
Sc 0.000 0.600 0.600
Pd 0.000 0.000 0.000

## Properties
The value obtained for the energy of formation from the pure elements is -656 meV/atom. As for the density: 7.01 g cm⁻³. The volume comes out at 17.180 A^3/atom. As for the space-group type: P-62m. The density of states at the Fermi level comes out at 6.9 states/eV/f.u. The value obtained for the raw total energy is -6.41 eV/atom.

# 6
Sc2Ga5PdRu2: relaxed, GGA-PBE.

abc: 4.060 9.082 9.082
angles: 90.00 90.00 90.00
Atoms (fractional coordinates):
Sc 0.000 0.678 0.178
Ga 0.500 0.798 0.934
Ga 0.500 0.066 0.798
Sc 0.000 0.178 0.322
Ga 0.500 0.702 0.434
Pd 0.000 0.000 0.000
Ru 0.000 0.619 0.881
Ru 0.000 0.881 0.381
Ga 0.500 0.000 0.500
Ga 0.500 0.202 0.066
Ru 0.000 0.381 0.119
Ga 0.500 0.566 0.702
Pd 0.000 0.500 0.500
Ru 0.000 0.119 0.619
Ga 0.500 0.934 0.202
Ga 0.500 0.434 0.298
Sc 0.000 0.322 0.822
Ga 0.500 0.298 0.566
Sc 0.000 0.822 0.678
Ga 0.500 0.500 0.000

## Properties
The value obtained for the energy of formation from the pure elements is -465 meV/atom. As for the density: 7.41 g cm⁻³. The volume comes out at 16.744 A^3/atom. As for the space-group type: P4/mbm. The density of states at the Fermi level comes out at 6.6 states/eV/f.u. The value obtained for the raw total energy is -5.62 eV/atom.

# 7
Sc4GaPdRu2: relaxed, GGA-PBE.

abc: 4.613 4.613 8.019
angles: 73.29 73.29 60.00
Atoms (fractional coordinates):
Sc 0.623 0.623 0.130
Sc 0.377 0.377 0.870
Ru 0.251 0.251 0.246
Sc 0.874 0.874 0.379
Ga 0.000 0.000 0.000
Sc 0.126 0.126 0.621
Ru 0.749 0.749 0.754
Pd 0.500 0.500 0.500

## Properties
The value obtained for the energy of formation from the pure elements is -687 meV/atom. As for the density: 6.65 g cm⁻³. The volume comes out at 17.423 A^3/atom. As for the space-group type: R-3m. The density of states at the Fermi level comes out at 4.5 states/eV/f.u. The value obtained for the raw total energy is -7.20 eV/atom.

# 8
ScGaPdRu: relaxed, GGA-PBE.

abc: 4.442 4.442 4.442
angles: 60.00 60.00 60.00
Atoms (fractional coordinates):
Ga 0.750 0.750 0.750
Ru 0.000 0.000 0.000
Sc 0.250 0.250 0.250
Pd 0.500 0.500 0.500

## Properties
The value obtained for the energy of formation from the pure elements is -707 meV/atom. As for the density: 8.63 g cm⁻³. The volume comes out at 15.499 A^3/atom. As for the space-group type: F-43m. The density of states at the Fermi level comes out at 1.2 states/eV/f.u. The value obtained for the raw total energy is -6.66 eV/atom.

# 9
Sm2Ga5PdRu2: relaxed, GGA-PBE.

abc: 3.241 10.606 10.606
angles: 90.00 90.00 90.00
Atoms (fractional coordinates):
Ga 0.500 0.500 0.000
Ga 0.500 0.194 0.053
Ga 0.500 0.053 0.806
Ru 0.000 0.374 0.126
Ga 0.500 0.553 0.694
Ru 0.000 0.874 0.374
Ga 0.500 0.306 0.553
Ru 0.000 0.626 0.874
Pd 0.000 0.000 0.000
Ga 0.500 0.806 0.947
Sm 0.000 0.183 0.317
Ga 0.500 0.694 0.447
Ru 0.000 0.126 0.626
Ga 0.500 0.447 0.306
Pd 0.000 0.500 0.500
Sm 0.000 0.683 0.183
Ga 0.500 0.000 0.500
Ga 0.500 0.947 0.194
Sm 0.000 0.817 0.683
Sm 0.000 0.317 0.817

## Properties
The value obtained for the energy of formation from the pure elements is -433 meV/atom. As for the density: 8.73 g cm⁻³. The volume comes out at 18.228 A^3/atom. As for the space-group type: P4/mbm. The density of states at the Fermi level comes out at 5.6 states/eV/f.u. The value obtained for the raw total energy is -5.26 eV/atom.

# 10
SmGa4Pd2Ru: relaxed, GGA-PBE.

abc: 4.270 4.270 9.168
angles: 76.53 76.53 60.00
Atoms (fractional coordinates):
Pd 0.236 0.236 0.291
Ga 0.134 0.134 0.599
Ru 0.500 0.500 0.500
Sm 0.000 0.000 0.000
Ga 0.600 0.600 0.201
Pd 0.764 0.764 0.709
Ga 0.866 0.866 0.401
Ga 0.400 0.400 0.799

## Properties
The value obtained for the energy of formation from the pure elements is -591 meV/atom. As for the density: 8.85 g cm⁻³. The volume comes out at 17.427 A^3/atom. As for the space-group type: R-3m. The density of states at the Fermi level comes out at 5.0 states/eV/f.u. The value obtained for the raw total energy is -5.15 eV/atom.

# 11
SmGa2PdRu: relaxed, GGA-PBE.

abc: 4.282 4.282 5.924
angles: 111.19 111.19 90.00
Atoms (fractional coordinates):
Ga 0.625 0.625 0.250
Ga 0.375 0.375 0.750
Pd 0.750 0.250 0.500
Ru 0.250 0.750 0.500
Sm 0.000 0.000 0.000

## Properties
The value obtained for the energy of formation from the pure elements is -629 meV/atom. As for the density: 8.84 g cm⁻³. The volume comes out at 18.673 A^3/atom. As for the space-group type: I-4m2. The density of states at the Fermi level comes out at 3.1 states/eV/f.u. The value obtained for the raw total energy is -5.68 eV/atom.

# 12
GaSnPdRu: relaxed, GGA-PBE.

abc: 4.506 4.506 4.506
angles: 60.00 60.00 60.00
Atoms (fractional coordinates):
Pd 0.250 0.250 0.250
Sn 0.500 0.500 0.500
Ga 0.000 0.000 0.000
Ru 0.750 0.750 0.750

## Properties
The value obtained for the energy of formation from the pure elements is -250 meV/atom. As for the density: 10.16 g cm⁻³. The volume comes out at 16.170 A^3/atom. As for the space-group type: F-43m. The density of states at the Fermi level comes out at 3.5 states/eV/f.u. The value obtained for the raw total energy is -5.62 eV/atom.

Which of these has the highest raw total energy?
SmGa4Pd2Ru

Which formula does entry 2 have?
GaPdRu2

What did the fifth record say?
Sc3Ga3PdRu2: relaxed, GGA-PBE.

abc: 3.479 7.164 7.164
angles: 120.00 90.00 90.00
Atoms (fractional coordinates):
Ru 0.500 0.333 0.667
Ru 0.500 0.667 0.333
Ga 0.500 0.000 0.725
Sc 0.000 0.400 0.000
Sc 0.000 0.000 0.400
Ga 0.500 0.725 0.000
Ga 0.500 0.275 0.275
Sc 0.000 0.600 0.600
Pd 0.000 0.000 0.000

## Properties
The value obtained for the energy of formation from the pure elements is -656 meV/atom. As for the density: 7.01 g cm⁻³. The volume comes out at 17.180 A^3/atom. As for the space-group type: P-62m. The density of states at the Fermi level comes out at 6.9 states/eV/f.u. The value obtained for the raw total energy is -6.41 eV/atom.